Li4Sb2H6O3F10 | PBE | relaxed Values from VASP.

```
&SYSTEM
  ibrav = 0, nat = 50, ntyp = 5
/
ATOMIC_SPECIES
O 16.00 O.upf
F 19.00 F.upf
Sb 121.76 Sb.upf
H 1.01 H.upf
Li 6.94 Li.upf
ATOMIC_POSITIONS crystal
O 0.2297 0.2869 0.2500
O 0.2881 0.6624 0.7500
O 0.2959 0.1920 0.7500
O 0.7041 0.8080 0.2500
O 0.7703 0.7131 0.7500
O 0.7119 0.3376 0.2500
F 0.5882 0.6227 0.4304
F 0.4118 0.3773 0.9304
F 0.0746 0.4613 0.4088
F 0.8222 0.1660 0.5106
F 0.5590 0.8942 0.5952
F 0.5882 0.6227 0.0696
F 0.5590 0.8942 0.9048
F 0.9254 0.5387 0.5912
F 0.0395 0.0072 0.6343
F 0.0746 0.4613 0.0912
F 0.4410 0.1058 0.4048
F 0.1778 0.8340 0.0106
F 0.9605 0.9928 0.3657
F 0.8222 0.1660 0.9894
F 0.4410 0.1058 0.0952
F 0.9254 0.5387 0.9088
F 0.0395 0.0072 0.8657
F 0.4118 0.3773 0.5696
F 0.9605 0.9928 0.1343
F 0.1778 0.8340 0.4894
Sb 0.7190 0.2257 0.6227
Sb 0.7190 0.2257 0.8773
Sb 0.2810 0.7743 0.1227
Sb 0.2810 0.7743 0.3773
H 0.7170 0.5161 0.2500
H 0.7856 0.8833 0.2044
H 0.2144 0.1167 0.7044
H 0.2144 0.1167 0.7956
H 0.1271 0.2551 0.2955
H 0.4627 0.7024 0.7500
H 0.1271 0.2551 0.2045
H 0.7856 0.8833 0.2956
H 0.5373 0.2976 0.2500
H 0.2830 0.4839 0.7500
H 0.8729 0.7449 0.7955
H 0.8729 0.7449 0.7045
Li 0.2489 0.7124 0.8931
Li 0.7949 0.7689 0.5125
Li 0.2051 0.2311 0.0125
Li 0.2489 0.7124 0.6069
Li 0.7949 0.7689 0.9875
Li 0.7511 0.2875 0.1069
Li 0.7511 0.2875 0.3931
Li 0.2051 0.2311 0.4875
CELL_PARAMETERS angstrom
5.5545 -0.0216 0.0000
-0.0265 5.6131 0.0000
0.0000 0.0000 17.0361
```

Results
The space-group type is No. 11. Its total magnetization is 0.0000 μB/atom. The calculation puts the total energy at -241.70 eV for the cell shown. As for the density: 3.22 Mg/m³.